No. 1
The following is a PBE calculation of crystalline PrTmPO at its relaxed geometry, from OQMD via LeMat-Bulk.

The structure in POSCAR format:
```
PrTmPO
1.0
4.3719 0.0000 0.0000
0.0000 4.3719 0.0000
0.0000 0.0000 8.8281
Pr Tm P O
2 2 2 2
direct
0.2500 0.2500 0.1163
0.7500 0.7500 0.8837
0.2500 0.7500 0.5000
0.7500 0.2500 0.5000
0.2500 0.2500 0.6822
0.7500 0.7500 0.3178
0.2500 0.7500 0.0000
0.7500 0.2500 0.0000
```

Output
* SG: P4/nmm
* raw total energy: -6.84 eV/atom

***

No. 2
The following is a PBE calculation of crystalline PrTmPO at its relaxed geometry, from OQMD via LeMat-Bulk.

The structure in POSCAR format:
```
PrTmPO
1.0
1.9969 1.1529 12.9991
-1.9969 1.1529 12.9991
0.0000 -2.3058 12.9991
Pr Tm P O
2 2 2 2
direct
0.1275 0.1275 0.1275
0.8725 0.8725 0.8725
0.2939 0.2939 0.2939
0.7061 0.7061 0.7061
0.4075 0.4075 0.4075
0.5925 0.5925 0.5925
0.1898 0.1898 0.1898
0.8102 0.8102 0.8102
```

Output
* SG: R-3m
* raw total energy: -6.95 eV/atom

***

No. 3
The following is a PBE calculation of crystalline PrTmPO at its relaxed geometry, from OQMD via LeMat-Bulk.

The structure in POSCAR format:
```
PrTmPO
1.0
4.3058 0.0000 0.0000
0.0000 4.3058 0.0000
0.0000 0.0000 8.8165
Pr Tm P O
2 2 2 2
direct
0.2500 0.7500 0.0000
0.7500 0.2500 0.0000
0.2500 0.2500 0.4103
0.7500 0.7500 0.5897
0.2500 0.2500 0.7826
0.7500 0.7500 0.2174
0.2500 0.7500 0.5000
0.7500 0.2500 0.5000
```

Output
* SG: P4/nmm
* raw total energy: -6.66 eV/atom

***

No. 4
The following is a PBE calculation of crystalline PrTmPO at its relaxed geometry, from OQMD via LeMat-Bulk.

The structure in POSCAR format:
```
PrTmPO
1.0
4.1732 0.0000 0.0000
0.0000 7.7110 0.0000
0.0000 0.0000 5.4458
Pr Tm P O
2 2 2 2
direct
0.0000 0.1345 0.0000
0.0000 0.8655 0.5000
0.5000 0.2946 0.4965
0.5000 0.7054 0.9965
0.5000 0.3597 0.9964
0.5000 0.6403 0.4964
0.0000 0.1825 0.4938
0.0000 0.8175 0.9938
```

Output
* SG: Pmc2_1
* raw total energy: -6.85 eV/atom

***

No. 5
The following is a PBE calculation of crystalline PrYPO at its relaxed geometry, from OQMD via LeMat-Bulk.

The structure in POSCAR format:
```
PrYPO
1.0
4.4089 0.0000 0.0000
0.0000 4.4089 0.0000
0.0000 0.0000 8.9016
Pr Y P O
2 2 2 2
direct
0.2500 0.2500 0.1127
0.7500 0.7500 0.8873
0.2500 0.7500 0.5000
0.7500 0.2500 0.5000
0.2500 0.2500 0.6855
0.7500 0.7500 0.3145
0.2500 0.7500 0.0000
0.7500 0.2500 0.0000
```

Output
* SG: P4/nmm
* raw total energy: -7.32 eV/atom

***

No. 6
The following is a PBE calculation of crystalline PrYPO at its relaxed geometry, from OQMD via LeMat-Bulk.

The structure in POSCAR format:
```
PrYPO
1.0
4.2396 0.0000 0.0000
0.0000 7.7345 0.0000
0.0000 0.0000 5.5276
Pr Y P O
2 2 2 2
direct
0.0000 0.1340 0.0000
0.0000 0.8660 0.5000
0.5000 0.2956 0.4869
0.5000 0.7044 0.9869
0.5000 0.3551 0.9850
0.5000 0.6449 0.4850
0.0000 0.1786 0.4714
0.0000 0.8214 0.9714
```

Output
* SG: Pmc2_1
* raw total energy: -7.35 eV/atom

***

No. 7
The following is a PBE calculation of crystalline PrYPO at its relaxed geometry, from OQMD via LeMat-Bulk.

The structure in POSCAR format:
```
PrYPO
1.0
4.3594 0.0000 0.0000
0.0000 4.3594 0.0000
0.0000 0.0000 8.8803
Pr Y P O
2 2 2 2
direct
0.2500 0.7500 0.0000
0.7500 0.2500 0.0000
0.2500 0.2500 0.4065
0.7500 0.7500 0.5935
0.2500 0.2500 0.7885
0.7500 0.7500 0.2115
0.2500 0.7500 0.5000
0.7500 0.2500 0.5000
```

Output
* SG: P4/nmm
* raw total energy: -7.16 eV/atom

***

No. 8
The following is a PBE calculation of crystalline PrZnPO at its relaxed geometry, from OQMD via LeMat-Bulk.

The structure in POSCAR format:
```
PrZnPO
1.0
4.9964 0.0000 0.0000
0.0000 4.0889 0.0000
0.0000 0.0000 6.9299
Pr Zn P O
2 2 2 2
direct
0.0000 0.2402 0.0000
0.0000 0.7598 0.5000
0.5000 0.2635 0.3436
0.5000 0.7365 0.8436
0.5000 0.2373 0.6802
0.5000 0.7627 0.1802
0.0000 0.2611 0.3366
0.0000 0.7389 0.8366
```

Output
* SG: Pmc2_1
* raw total energy: -5.74 eV/atom

***

No. 9
The following is a PBE calculation of crystalline RbPPtO at its relaxed geometry, from OQMD via LeMat-Bulk.

The structure in POSCAR format:
```
RbPPtO
1.0
4.5350 0.0000 0.0000
0.0000 4.5350 0.0000
0.0000 0.0000 8.0438
Rb P Pt O
2 2 2 2
direct
0.2500 0.7500 0.0000
0.7500 0.2500 0.0000
0.2500 0.2500 0.2827
0.7500 0.7500 0.7173
0.2500 0.2500 0.5569
0.7500 0.7500 0.4431
0.2500 0.7500 0.5000
0.7500 0.2500 0.5000
```

Output
* SG: P4/nmm
* raw total energy: -3.79 eV/atom

***

No. 10
The following is a PBE calculation of crystalline RbPPtO at its relaxed geometry, from OQMD via LeMat-Bulk.

The structure in POSCAR format:
```
RbPPtO
1.0
4.1994 0.0000 0.0000
0.0000 4.1994 0.0000
0.0000 0.0000 10.8181
Rb P Pt O
2 2 2 2
direct
0.2500 0.2500 0.1592
0.7500 0.7500 0.8408
0.2500 0.2500 0.6062
0.7500 0.7500 0.3938
0.2500 0.7500 0.5000
0.7500 0.2500 0.5000
0.2500 0.7500 0.0000
0.7500 0.2500 0.0000
```

Output
* SG: P4/nmm
* raw total energy: -4.65 eV/atom

***

No. 11
The following is a PBE calculation of crystalline RbPPtO at its relaxed geometry, from OQMD via LeMat-Bulk.

The structure in POSCAR format:
```
RbPPtO
1.0
3.4417 0.0000 0.0000
0.0000 7.9162 0.0000
0.0000 0.0000 6.3716
Rb P Pt O
2 2 2 2
direct
0.0000 0.2082 0.0000
0.0000 0.7918 0.5000
0.0000 0.3594 0.4996
0.0000 0.6406 0.9996
0.5000 0.1774 0.4997
0.5000 0.8226 0.9997
0.5000 0.9998 0.2513
0.5000 0.0002 0.7513
```

Output
* SG: Pmc2_1
* raw total energy: -4.76 eV/atom

***

No. 12
The following is a PBE calculation of crystalline ScPPtO at its relaxed geometry, from OQMD via LeMat-Bulk.

The structure in POSCAR format:
```
ScPPtO
1.0
5.2122 0.0000 0.0000
0.0000 5.2122 0.0000
0.0000 0.0000 4.4997
Sc P Pt O
2 2 2 2
direct
0.2500 0.7500 0.0000
0.7500 0.2500 0.0000
0.2500 0.2500 0.0021
0.7500 0.7500 0.9979
0.2500 0.2500 0.5021
0.7500 0.7500 0.4979
0.2500 0.7500 0.5000
0.7500 0.2500 0.5000
```

Output
* SG: P4/nmm
* raw total energy: -6.57 eV/atom

***

The evaluated total magnetic moment for the records listed, in turn: 0.0; 0.0; 0.0; 0.2; 0.0; 0.1; 0.0; 0.0; 0.1; 1.2; 0.0; 0.0 μB/f.u..
The evaluated ρ for the records listed, in turn: 7.023; 6.600; 7.250; 6.762; 5.313; 5.071; 5.447; 5.942; 6.575; 5.702; 6.266; 7.797 g/cm3.